Compound: HfTi9Tl2
Source: Alexandria
Functional: PBE-GGA
Structure: relaxed

Geometry as CIF:
```
data_HfTi9Tl2
_chemical_formula_sum 'Hf1 Ti9 Tl2'
_cell_length_a 5.638
_cell_length_b 5.638
_cell_length_c 8.877
_cell_angle_alpha 71.48
_cell_angle_beta 71.48
_cell_angle_gamma 60.00
_space_group_name_H-M_alt 'P 1'
_space_group_IT_number 1
loop_
_space_group_symop_operation_xyz
'x,y,z'
loop_
_atom_site_label
_atom_site_fract_x
_atom_site_fract_y
_atom_site_fract_z
Hf1 0.000 0.000 0.000
Ti1 0.668 0.668 0.997
Ti2 0.332 0.332 0.003
Ti3 0.500 0.500 0.500
Ti4 0.418 0.418 0.243
Ti5 0.920 0.418 0.243
Ti6 0.418 0.920 0.243
Ti7 0.582 0.582 0.757
Ti8 0.582 0.080 0.757
Ti9 0.080 0.582 0.757
Tl1 0.861 0.861 0.416
Tl2 0.139 0.139 0.584
```

Calculated values
For the formation energy, the calculation gives 2.39 eV/f.u. For the volume, the calculation gives 18.94 A^3/atom.